(1)
DFT (PBE) results for an optimized crystal structure of Pr2AlCo2.

Unit cell a=5.562 b=5.562 c=7.655 alpha=101.75 beta=101.75 gamma=60.76
Atoms (fractional coordinates):
Pr 0.000 0.291 0.147
Pr 0.000 0.709 0.853
Pr 0.291 0.000 0.647
Pr 0.709 0.000 0.353
Al 0.380 0.620 0.250
Al 0.620 0.380 0.750
Co 0.216 0.500 0.495
Co 0.500 0.216 0.995
Co 0.500 0.784 0.005
Co 0.784 0.500 0.505

Results
space group	C2/c (15)


(2)
DFT (PBE) results for an optimized crystal structure of Pr2Al3Co14.

Unit cell a=6.381 b=6.381 c=6.381 alpha=82.74 beta=82.74 gamma=82.74
Atoms (fractional coordinates):
Pr 0.155 0.155 0.155
Pr 0.845 0.845 0.845
Al 0.000 0.500 0.500
Al 0.500 0.000 0.500
Al 0.500 0.500 0.000
Co 0.155 0.155 0.659
Co 0.155 0.659 0.155
Co 0.213 0.500 0.787
Co 0.213 0.787 0.500
Co 0.341 0.845 0.845
Co 0.408 0.408 0.408
Co 0.500 0.213 0.787
Co 0.500 0.787 0.213
Co 0.592 0.592 0.592
Co 0.659 0.155 0.155
Co 0.787 0.213 0.500
Co 0.787 0.500 0.213
Co 0.845 0.341 0.845
Co 0.845 0.845 0.341

Results
space group	R-3m (166)


(3)
DFT (PBE) results for an optimized crystal structure of AlCoPt.

Unit cell a=5.783 b=5.783 c=5.783 alpha=90.00 beta=90.00 gamma=90.00
Atoms (fractional coordinates):
Al 0.000 0.000 0.000
Al 0.000 0.500 0.500
Al 0.500 0.000 0.500
Al 0.500 0.500 0.000
Co 0.000 0.000 0.500
Co 0.000 0.500 0.000
Co 0.500 0.000 0.000
Co 0.500 0.500 0.500
Pt 0.250 0.250 0.250
Pt 0.250 0.750 0.750
Pt 0.750 0.250 0.750
Pt 0.750 0.750 0.250

Results
energy relative to the lowest polymorph listed for this composition	0.0	meV/atom
space group	F-43m (216)


(4)
DFT (PBE) results for an optimized crystal structure of Al2CoPt.

Unit cell a=6.029 b=6.029 c=6.029 alpha=90.00 beta=90.00 gamma=90.00
Atoms (fractional coordinates):
Al 0.000 0.000 0.000
Al 0.000 0.500 0.500
Al 0.250 0.250 0.250
Al 0.250 0.750 0.750
Al 0.500 0.000 0.500
Al 0.500 0.500 0.000
Al 0.750 0.250 0.750
Al 0.750 0.750 0.250
Co 0.250 0.250 0.750
Co 0.250 0.750 0.250
Co 0.750 0.250 0.250
Co 0.750 0.750 0.750
Pt 0.000 0.000 0.500
Pt 0.000 0.500 0.000
Pt 0.500 0.000 0.000
Pt 0.500 0.500 0.500

Results
space group	F-43m (216)


Number 1: magnetic moment 0.0 μB/f.u., E -57.37 eV/cell. Number 2: magnetic moment 16.7 μB/f.u., E -123.01 eV/cell. Number 3: magnetic moment 1.8 μB/f.u., E -70.81 eV/cell. Number 4: magnetic moment 0.2 μB/f.u., E -88.53 eV/cell.